Record 1
The following is a DFT calculation (GGA-PBE) of a relaxed BaTlSi2 crystal.

POSCAR file:
```
BaTlSi2
1.0
-2.164 0.388 -5.279
2.369 -5.185 0.453
-3.035 -1.286 1.150
Ba Si Tl
1 2 1
Direct
0.000 0.500 0.500
0.000 0.000 0.000
0.500 0.500 0.000
0.500 0.000 0.500
```

Properties
ρ, g/cm3: 6.05
Excess energy over the best structure of this formula in the dataset, eV/atom: 0.4640
SG: Cmmm, No. 65
Spin magnetization, μB per formula unit: 0.000

Record 2
The following is a DFT calculation (GGA-PBE) of a relaxed BaTl3Si crystal.

POSCAR file:
```
BaTl3Si
1.0
5.528 0.000 0.000
0.000 5.528 0.000
0.000 0.000 5.528
Tl Si Ba
3 1 1
Direct
0.000 0.500 0.000
0.000 0.000 0.500
0.500 0.000 0.000
0.000 0.000 0.000
0.500 0.500 0.500
```

Properties
ρ, g/cm3: 7.65
Excess energy over the best structure of this formula in the dataset, eV/atom: 0.0000
SG: Pm-3m, No. 221
Spin magnetization, μB per formula unit: 0.000

Record 3
The following is a DFT calculation (GGA-PBE) of a relaxed BaTl2Si2 crystal.

POSCAR file:
```
BaTl2Si2
1.0
5.102 0.000 0.000
0.000 5.102 0.000
2.551 2.551 5.390
Tl Si Ba
2 2 1
Direct
0.362 0.362 0.275
0.638 0.638 0.725
0.750 0.250 0.500
0.250 0.750 0.500
0.000 0.000 0.000
```

Properties
ρ, g/cm3: 7.13
Excess energy over the best structure of this formula in the dataset, eV/atom: 0.1199
SG: I4/mmm, No. 139
Spin magnetization, μB per formula unit: 0.000

Record 4
The following is a DFT calculation (GGA-PBE) of a relaxed BaTlSi2 crystal.

POSCAR file:
```
BaTlSi2
1.0
-1.848 1.290 -4.517
-4.352 -2.298 1.124
-6.504 7.782 2.064
Tl Si Ba
2 4 2
Direct
0.000 0.000 0.000
0.750 0.250 0.500
0.875 0.125 0.250
0.875 0.625 0.250
0.375 0.125 0.750
0.875 0.125 0.750
0.500 0.500 0.000
0.250 0.750 0.500
```

Properties
ρ, g/cm3: 5.34
Excess energy over the best structure of this formula in the dataset, eV/atom: 0.2291
SG: I4_1/amd, No. 141
Spin magnetization, μB per formula unit: 0.000

E_form (uncorrected), respectively: 0.3358; 0.0594; 0.0765; 0.1010 eV per atom.